Tb3Dy3Y5: optimized geometry, PBE. Values from VASP.

Output
The calculation puts the formation energy at 0.823 eV/atom. The space group is P-62m.

Structure (Quantum ESPRESSO input):
```
&SYSTEM
  ibrav = 0, nat = 11, ntyp = 3
/
ATOMIC_SPECIES
Tb 158.93 Tb.upf
Dy 162.50 Dy.upf
Y 88.91 Y.upf
ATOMIC_POSITIONS crystal
Tb 0.000 0.375 0.000
Tb 0.375 0.000 0.000
Tb 0.625 0.625 0.000
Dy 0.000 0.553 0.500
Dy 0.447 0.447 0.500
Dy 0.553 0.000 0.500
Y 0.000 0.744 0.000
Y 0.256 0.256 0.000
Y 0.333 0.667 0.000
Y 0.667 0.333 0.000
Y 0.744 0.000 0.000
CELL_PARAMETERS angstrom
9.665 0.000 0.000
-4.832 8.370 0.000
0.000 0.000 5.457
```

NiHgIr2: optimized geometry, PBE. Values from VASP.

Output
The calculation puts the formation energy at 0.682 eV/atom. The space group is I-42d.

Structure (Quantum ESPRESSO input):
```
&SYSTEM
  ibrav = 0, nat = 8, ntyp = 3
/
ATOMIC_SPECIES
Ni 58.69 Ni.upf
Hg 200.59 Hg.upf
Ir 192.22 Ir.upf
ATOMIC_POSITIONS crystal
Ni 0.000 0.000 0.000
Ni 0.750 0.250 0.500
Hg 0.250 0.750 0.500
Hg 0.500 0.500 0.000
Ir 0.076 0.625 0.951
Ir 0.375 0.326 0.451
Ir 0.674 0.125 0.049
Ir 0.875 0.924 0.549
CELL_PARAMETERS angstrom
-1.915 1.915 9.214
1.915 -1.915 9.214
1.915 1.915 -9.214
```

K2Re2S5: optimized geometry, PBE. Values from VASP.

Output
The space group is C2/m. As for the uncorrected formation energy: -45.9 kJ per mole of atoms.

Structure (Quantum ESPRESSO input):
```
&SYSTEM
  ibrav = 0, nat = 9, ntyp = 3
/
ATOMIC_SPECIES
K 39.10 K.upf
Re 186.21 Re.upf
S 32.06 S.upf
ATOMIC_POSITIONS crystal
K 0.094 0.094 0.309
K 0.906 0.906 0.691
Re 0.354 0.354 0.122
Re 0.646 0.646 0.878
S 0.198 0.198 0.916
S 0.376 0.376 0.398
S 0.500 0.500 0.000
S 0.624 0.624 0.602
S 0.802 0.802 0.084
CELL_PARAMETERS angstrom
6.249 -2.283 0.000
6.249 2.283 0.000
-1.278 0.000 8.078
```

The evaluated size of the total moment for the records listed, in turn: 0.00 0.00 0.00 μB per formula unit.
The evaluated calculated density for the records listed, in turn: 5.30 15.81 4.40 g cm⁻³.